Density functional theory data (PBE-GGA) for crystalline Y5Er2Tm12 at its relaxed geometry.

For the energy of formation from the pure elements, the calculation gives 126 meV per atom. As for the symmetry: P-1 (2). The value obtained for the energy above the most stable polymorph in this dataset is 0.043 eV per formula unit. The mass density is 7.86 Mg/m³. Its spin magnetization is 0.00 μB/cell.

abc: 5.948 9.618 11.114
angles: 70.04 82.64 88.80
Sites, in units of the cell vectors:
Y (0.000, 0.000, 0.000)
Y (0.101, 0.962, 0.343)
Y (0.499, 0.547, 0.831)
Y (0.501, 0.453, 0.169)
Y (0.899, 0.038, 0.657)
Er (0.283, 0.567, 0.420)
Er (0.717, 0.433, 0.580)
Tm (0.039, 0.686, 0.656)
Tm (0.071, 0.315, 0.042)
Tm (0.163, 0.317, 0.728)
Tm (0.386, 0.905, 0.788)
Tm (0.427, 0.819, 0.105)
Tm (0.430, 0.181, 0.487)
Tm (0.570, 0.819, 0.513)
Tm (0.573, 0.181, 0.895)
Tm (0.614, 0.095, 0.212)
Tm (0.837, 0.683, 0.272)
Tm (0.929, 0.685, 0.958)
Tm (0.961, 0.314, 0.344)

Density functional theory data (PBE-GGA) for crystalline YErTm14 at its relaxed geometry.

For the energy of formation from the pure elements, the calculation gives 63 meV per atom. As for the symmetry: Amm2 (38). The mass density is 8.95 Mg/m³. Its spin magnetization is 0.00 μB/cell.

abc: 10.995 6.848 6.848
angles: 70.54 90.00 90.00
Sites, in units of the cell vectors:
Y (0.000, 0.000, 0.000)
Er (0.000, 0.453, 0.453)
Tm (0.000, 0.517, 0.933)
Tm (0.000, 0.933, 0.517)
Tm (0.235, 0.203, 0.203)
Tm (0.252, 0.139, 0.715)
Tm (0.252, 0.715, 0.139)
Tm (0.266, 0.652, 0.652)
Tm (0.500, 0.338, 0.922)
Tm (0.500, 0.401, 0.401)
Tm (0.500, 0.854, 0.854)
Tm (0.500, 0.922, 0.338)
Tm (0.734, 0.652, 0.652)
Tm (0.748, 0.139, 0.715)
Tm (0.748, 0.715, 0.139)
Tm (0.765, 0.203, 0.203)

Density functional theory data (PBE-GGA) for crystalline Y3Er4Tm2 at its relaxed geometry.

For the energy of formation from the pure elements, the calculation gives 106 meV per atom. As for the symmetry: C2/c (15). The value obtained for the energy above the most stable polymorph in this dataset is 0.000 eV per formula unit. The mass density is 7.57 Mg/m³. Its spin magnetization is 0.00 μB/cell.

abc: 10.067 10.067 5.935
angles: 95.76 95.76 69.46
Sites, in units of the cell vectors:
Y (0.152, 0.848, 0.750)
Y (0.180, 0.485, 0.917)
Y (0.485, 0.180, 0.417)
Y (0.515, 0.820, 0.583)
Y (0.820, 0.515, 0.083)
Y (0.848, 0.152, 0.250)
Er (0.121, 0.338, 0.382)
Er (0.328, 0.545, 0.451)
Er (0.338, 0.121, 0.882)
Er (0.455, 0.672, 0.049)
Er (0.545, 0.328, 0.951)
Er (0.662, 0.879, 0.118)
Er (0.672, 0.455, 0.549)
Er (0.879, 0.662, 0.618)
Tm (0.005, 0.788, 0.213)
Tm (0.212, 0.995, 0.287)
Tm (0.788, 0.005, 0.713)
Tm (0.995, 0.212, 0.787)

Density functional theory data (PBE-GGA) for crystalline Y6Er5Tm at its relaxed geometry.

For the energy of formation from the pure elements, the calculation gives 27 meV per atom. As for the symmetry: Cmmm (65). The mass density is 6.80 Mg/m³. Its spin magnetization is 0.00 μB/cell.

abc: 7.919 7.919 9.995
angles: 90.00 90.00 143.19
Sites, in units of the cell vectors:
Y (0.000, 0.000, 0.250)
Y (0.000, 0.000, 0.750)
Y (0.333, 0.667, 0.250)
Y (0.333, 0.667, 0.750)
Y (0.667, 0.333, 0.250)
Y (0.667, 0.333, 0.750)
Er (0.166, 0.834, 0.000)
Er (0.167, 0.833, 0.500)
Er (0.500, 0.500, 0.500)
Er (0.833, 0.167, 0.500)
Er (0.834, 0.166, 0.000)
Tm (0.500, 0.500, 0.000)

Density functional theory data (PBE-GGA) for crystalline YEr6Tm3 at its relaxed geometry.

For the energy of formation from the pure elements, the calculation gives 157 meV per atom. As for the symmetry: Cmc2_1 (36). The value obtained for the energy above the most stable polymorph in this dataset is 0.311 eV per formula unit. The mass density is 8.52 Mg/m³. Its spin magnetization is 0.00 μB/cell.

abc: 10.838 10.838 6.121
angles: 90.00 90.00 119.83
Sites, in units of the cell vectors:
Y (0.206, 0.794, 0.500)
Y (0.794, 0.206, 0.000)
Er (0.042, 0.463, 0.708)
Er (0.046, 0.954, 0.267)
Er (0.284, 0.716, 0.995)
Er (0.288, 0.382, 0.883)
Er (0.382, 0.288, 0.383)
Er (0.463, 0.042, 0.208)
Er (0.537, 0.958, 0.708)
Er (0.618, 0.712, 0.883)
Er (0.712, 0.618, 0.383)
Er (0.716, 0.284, 0.495)
Er (0.954, 0.046, 0.767)
Er (0.958, 0.537, 0.208)
Tm (0.063, 0.280, 0.310)
Tm (0.280, 0.063, 0.810)
Tm (0.391, 0.609, 0.423)
Tm (0.609, 0.391, 0.923)
Tm (0.720, 0.937, 0.310)
Tm (0.937, 0.720, 0.810)

Density functional theory data (PBE-GGA) for crystalline YEr4Tm8 at its relaxed geometry.

For the energy of formation from the pure elements, the calculation gives 240 meV per atom. As for the symmetry: R-3m (166). The mass density is 8.77 Mg/m³. Its spin magnetization is 0.00 μB/cell.

abc: 9.837 9.837 9.837
angles: 42.89 42.89 42.89
Sites, in units of the cell vectors:
Y (0.000, 0.000, 0.000)
Er (0.000, 0.000, 0.500)
Er (0.000, 0.500, 0.000)
Er (0.500, 0.000, 0.000)
Er (0.500, 0.500, 0.500)
Tm (0.251, 0.251, 0.695)
Tm (0.251, 0.695, 0.251)
Tm (0.283, 0.283, 0.283)
Tm (0.305, 0.749, 0.749)
Tm (0.695, 0.251, 0.251)
Tm (0.717, 0.717, 0.717)
Tm (0.749, 0.305, 0.749)
Tm (0.749, 0.749, 0.305)

Density functional theory data (PBE-GGA) for crystalline Y6Er5Tm at its relaxed geometry.

For the energy of formation from the pure elements, the calculation gives 27 meV per atom. As for the symmetry: C2/m (12). The mass density is 6.81 Mg/m³. Its spin magnetization is 0.00 μB/cell.

abc: 6.124 6.124 11.727
angles: 94.99 94.99 119.93
Sites, in units of the cell vectors:
Y (0.083, 0.416, 0.250)
Y (0.250, 0.250, 0.750)
Y (0.416, 0.083, 0.250)
Y (0.584, 0.917, 0.750)
Y (0.750, 0.750, 0.250)
Y (0.917, 0.584, 0.750)
Er (0.167, 0.833, 0.500)
Er (0.333, 0.667, 0.000)
Er (0.500, 0.500, 0.500)
Er (0.667, 0.333, 0.000)
Er (0.833, 0.167, 0.500)
Tm (0.000, 0.000, 0.000)

Density functional theory data (PBE-GGA) for crystalline Y6Er12Tm at its relaxed geometry.

For the energy of formation from the pure elements, the calculation gives 221 meV per atom. As for the symmetry: R-3m (166). The value obtained for the energy above the most stable polymorph in this dataset is 0.725 eV per formula unit. The mass density is 7.29 Mg/m³. Its spin magnetization is 0.00 μB/cell.

abc: 8.622 8.622 8.622
angles: 98.47 98.47 98.47
Sites, in units of the cell vectors:
Y (0.159, 0.601, 0.601)
Y (0.399, 0.399, 0.841)
Y (0.399, 0.841, 0.399)
Y (0.601, 0.159, 0.601)
Y (0.601, 0.601, 0.159)
Y (0.841, 0.399, 0.399)
Er (0.000, 0.257, 0.743)
Er (0.000, 0.743, 0.257)
Er (0.145, 0.145, 0.418)
Er (0.145, 0.418, 0.145)
Er (0.257, 0.000, 0.743)
Er (0.257, 0.743, 0.000)
Er (0.418, 0.145, 0.145)
Er (0.582, 0.855, 0.855)
Er (0.743, 0.000, 0.257)
Er (0.743, 0.257, 0.000)
Er (0.855, 0.582, 0.855)
Er (0.855, 0.855, 0.582)
Tm (0.500, 0.500, 0.500)

Density functional theory data (PBE-GGA) for crystalline Y12Er5Tm2 at its relaxed geometry.

For the energy of formation from the pure elements, the calculation gives 60 meV per atom. As for the symmetry: P-1 (2). The value obtained for the energy above the most stable polymorph in this dataset is 0.000 eV per formula unit. The mass density is 6.15 Mg/m³. Its spin magnetization is 0.00 μB/cell.

abc: 6.252 8.802 12.030
angles: 69.90 80.08 78.67
Sites, in units of the cell vectors:
Y (0.041, 0.072, 0.329)
Y (0.191, 0.262, 0.665)
Y (0.235, 0.397, 0.358)
Y (0.255, 0.537, 0.791)
Y (0.335, 0.793, 0.172)
Y (0.414, 0.873, 0.841)
Y (0.586, 0.127, 0.159)
Y (0.665, 0.207, 0.828)
Y (0.745, 0.463, 0.209)
Y (0.765, 0.603, 0.642)
Y (0.809, 0.738, 0.335)
Y (0.959, 0.928, 0.671)
Er (0.129, 0.164, 0.994)
Er (0.287, 0.673, 0.490)
Er (0.500, 0.000, 0.500)
Er (0.713, 0.327, 0.510)
Er (0.871, 0.836, 0.006)
Tm (0.248, 0.496, 0.066)
Tm (0.752, 0.504, 0.934)

Density functional theory data (PBE-GGA) for crystalline Y2Er4Tm3 at its relaxed geometry.

For the energy of formation from the pure elements, the calculation gives 103 meV per atom. As for the symmetry: C2/c (15). The mass density is 8.10 Mg/m³. Its spin magnetization is 0.00 μB/cell.

abc: 9.822 9.822 6.097
angles: 94.63 94.63 71.52
Sites, in units of the cell vectors:
Y (0.021, 0.736, 0.680)
Y (0.264, 0.979, 0.820)
Y (0.736, 0.021, 0.180)
Y (0.979, 0.264, 0.320)
Er (0.071, 0.358, 0.845)
Er (0.312, 0.596, 0.987)
Er (0.358, 0.071, 0.345)
Er (0.404, 0.688, 0.513)
Er (0.596, 0.312, 0.487)
Er (0.642, 0.929, 0.655)
Er (0.688, 0.404, 0.013)
Er (0.929, 0.642, 0.155)
Tm (0.098, 0.902, 0.250)
Tm (0.239, 0.430, 0.413)
Tm (0.430, 0.239, 0.913)
Tm (0.570, 0.761, 0.087)
Tm (0.761, 0.570, 0.587)
Tm (0.902, 0.098, 0.750)

Density functional theory data (PBE-GGA) for crystalline Y12Er7Tm at its relaxed geometry.

For the energy of formation from the pure elements, the calculation gives 288 meV per atom. As for the symmetry: R-3 (148). The value obtained for the energy above the most stable polymorph in this dataset is 0.000 eV per formula unit. The mass density is 6.22 Mg/m³. Its spin magnetization is 0.00 μB/cell.

abc: 8.667 8.667 8.667
angles: 95.06 95.06 95.06
Sites, in units of the cell vectors:
Y (0.020, 0.351, 0.083)
Y (0.083, 0.020, 0.351)
Y (0.190, 0.316, 0.749)
Y (0.251, 0.810, 0.684)
Y (0.316, 0.749, 0.190)
Y (0.351, 0.083, 0.020)
Y (0.649, 0.917, 0.980)
Y (0.684, 0.251, 0.810)
Y (0.749, 0.190, 0.316)
Y (0.810, 0.684, 0.251)
Y (0.917, 0.980, 0.649)
Y (0.980, 0.649, 0.917)
Er (0.000, 0.000, 0.000)
Er (0.148, 0.477, 0.416)
Er (0.416, 0.148, 0.477)
Er (0.477, 0.416, 0.148)
Er (0.523, 0.584, 0.852)
Er (0.584, 0.852, 0.523)
Er (0.852, 0.523, 0.584)
Tm (0.500, 0.500, 0.500)

Density functional theory data (PBE-GGA) for crystalline Y2Er8Tm at its relaxed geometry.

For the energy of formation from the pure elements, the calculation gives 118 meV per atom. As for the symmetry: P-1 (2). The mass density is 8.09 Mg/m³. Its spin magnetization is 0.00 μB/cell.

abc: 6.246 6.518 8.662
angles: 99.25 95.48 92.82
Sites, in units of the cell vectors:
Y (0.181, 0.325, 0.491)
Y (0.819, 0.675, 0.509)
Er (0.046, 0.893, 0.223)
Er (0.068, 0.637, 0.863)
Er (0.348, 0.849, 0.593)
Er (0.450, 0.559, 0.198)
Er (0.550, 0.441, 0.802)
Er (0.652, 0.151, 0.407)
Er (0.932, 0.363, 0.137)
Er (0.954, 0.107, 0.777)
Tm (0.500, 0.000, 0.000)